Record 1
Below is La2MgGeO6 at its PBEsol-relaxed geometry, with properties calculated at the SCAN level.

Cell: 5.4452 5.4452 5.4452 Å, 60.82 60.82 60.82°
With the nearest neighbours (Å) after each atom.
Fractional coordinates of all 10 atoms:
La (0.2492, 0.2492, 0.2492)  3 O 2.41
La (0.7508, 0.7508, 0.7508)  3 O 2.41
Mg (0.5000, 0.5000, 0.5000)  6 O 2.04
Ge (0.0000, 0.0000, 0.0000)  6 O 1.90
O (0.1780, 0.7626, 0.3036)  1 Ge 1.90, 1 Mg 2.04
O (0.2374, 0.6964, 0.8220)  1 Ge 1.90, 1 Mg 2.04
O (0.3036, 0.1780, 0.7626)  1 Ge 1.90, 1 Mg 2.04
O (0.6964, 0.8220, 0.2374)  1 Ge 1.90, 1 Mg 2.04
O (0.7626, 0.3036, 0.1780)  1 Ge 1.90, 1 Mg 2.04
O (0.8220, 0.2374, 0.6964)  1 Ge 1.90, 1 Mg 2.04

The value obtained for the total magnetization is 0.00 μB per cell. Its raw total energy is -17.92 eV per atom. As for the uncorrected formation energy: -3.15 eV/atom. The calculation puts the density of states at the Fermi level at 0.000 states/eV per atom.



Record 2
Below is Na3HgP at its PBEsol-relaxed geometry, with properties calculated at the SCAN level.

Cell: 5.3796 5.3796 5.3796 Å, 90.00 90.00 90.00°
With the nearest neighbours (Å) after each atom.
Fractional coordinates of all 5 atoms:
Na (0.0000, 0.0000, 0.5000)  2 P 2.69
Na (0.0000, 0.5000, 0.0000)  2 P 2.69
Na (0.5000, 0.0000, 0.0000)  2 P 2.69
Hg (0.5000, 0.5000, 0.5000)  12 Na 3.80
P (0.0000, 0.0000, 0.0000)  6 Na 2.69

The value obtained for the total magnetization is 0.00 μB per cell. Its raw total energy is -18.53 eV per atom. Its energy relative to the elements is -289 meV/atom.



Record 3
Below is PRuPb at its PBEsol-relaxed geometry, with properties calculated at the SCAN level.

Cell: 4.3262 4.3262 4.3262 Å, 60.00 60.00 60.00°
With the nearest neighbours (Å) after each atom.
Fractional coordinates of all 3 atoms:
P (0.0000, 0.0000, 0.0000)  4 Ru 2.65
Ru (0.7500, 0.7500, 0.7500)  4 Pb 2.65, 4 P 2.65
Pb (0.5000, 0.5000, 0.5000)  4 Ru 2.65

The value obtained for the total magnetization is 0.00 μB per cell. Its raw total energy is -39.94 eV per atom. Its energy relative to the elements is 398 meV/atom. The calculation puts the density of states at the Fermi level at 0.733 states/eV per atom.



Record 4
Below is TaRe2Pt at its PBEsol-relaxed geometry, with properties calculated at the SCAN level.

Cell: 4.8132 4.8132 4.8625 Å, 98.99 98.99 33.38°
With the nearest neighbours (Å) after each atom.
Fractional coordinates of all 4 atoms:
Ta (0.0000, 0.0000, 0.0000)  3 Pt 2.73-2.79, 2 Ta 2.76, 7 Re 2.78-2.85
Re (0.5005, 0.5005, 0.4966)  5 Re 2.71-2.76, 4 Ta 2.78-2.81, 3 Pt 2.80-2.83
Re (0.7526, 0.7526, 0.2781)  5 Re 2.71-2.76, 4 Pt 2.73-2.86, 3 Ta 2.84-2.85
Pt (0.2484, 0.2484, 0.7608)  7 Re 2.73-2.86, 3 Ta 2.73-2.79, 2 Pt 2.76

The value obtained for the total magnetization is 0.00 μB per cell. Its raw total energy is -69.94 eV per atom. Its energy relative to the elements is -194 meV/atom. As for the energy above the lowest structure with this stoichiometry: 179.9 meV/atom. The calculation puts the density of states at the Fermi level at 0.510 states/eV per atom.



Record 5
Below is YNiAu2 at its PBEsol-relaxed geometry, with properties calculated at the SCAN level.

Cell: 3.5269 3.5269 5.6954 Å, 90.00 90.00 90.00°
With the nearest neighbours (Å) after each atom.
Fractional coordinates of all 4 atoms:
Y (0.0000, 0.0000, 0.0000)  6 Au 2.72-2.97, 4 Ni 2.91
Ni (0.5000, 0.5000, 0.7355)  5 Au 2.63-2.77, 4 Y 2.91
Au (0.0000, 0.0000, 0.5220)  2 Y 2.72-2.97, 4 Ni 2.77, 4 Au 2.87
Au (0.5000, 0.5000, 0.2741)  1 Ni 2.63, 4 Au 2.87, 4 Y 2.94

The value obtained for the total magnetization is 0.00 μB per cell. Its raw total energy is -46.10 eV per atom. Its energy relative to the elements is -519 meV/atom. The calculation puts the density of states at the Fermi level at 0.246 states/eV per atom.



Record 6
Below is LaBe4As at its PBEsol-relaxed geometry, with properties calculated at the SCAN level.

Cell: 4.9753 4.9753 4.9753 Å, 60.00 60.00 60.00°
With the nearest neighbours (Å) after each atom.
Fractional coordinates of all 6 atoms:
La (0.0000, 0.0000, 0.0000)  12 Be 2.92, 4 As 3.05
Be (0.1318, 0.6227, 0.6227)  6 Be 2.44-2.53
Be (0.6227, 0.1318, 0.6227)  6 Be 2.44-2.53
Be (0.6227, 0.6227, 0.1318)  6 Be 2.44-2.53
Be (0.6227, 0.6227, 0.6227)  6 Be 2.44-2.53
As (0.2500, 0.2500, 0.2500)  12 Be 2.91, 4 La 3.05

The value obtained for the total magnetization is 0.03 μB per cell. Its raw total energy is -13.07 eV per atom. Its energy relative to the elements is 385 meV/atom. The calculation puts the density of states at the Fermi level at 0.592 states/eV per atom.



What is the formula in the first record? La2MgGeO6